A plane-wave DFT calculation with GGA-PBE was carried out for a relaxed Dy6Er2Hg crystal.

The structure in POSCAR format:
```
Dy6Er2Hg
1.0
4.622 -8.610 0.000
4.622 8.610 0.000
0.000 0.000 3.533
Dy Er Hg
6 2 1
Cartesian
1.636 2.790 0.000
2.743 0.000 1.767
1.636 -2.790 0.000
7.609 2.790 0.000
6.502 0.000 1.767
7.609 -2.790 0.000
4.622 3.135 1.767
4.622 -3.135 1.767
0.000 0.000 0.000
```

Calculated values
- space-group type = Cmmm (65)
- DFT formation energy (eV/atom) = 0.031